(1)
The following is a DFT calculation (PBE-GGA) of a relaxed In2TeW crystal.

a = 2.9959 Å, b = 2.9959 Å, c = 10.4540 Å
α = 90.00°, β = 90.00°, γ = 101.39°
Atoms (fractional coordinates):
In: 0.0000 0.0000 0.9614
In: 0.0000 0.0000 0.5386
Te: 0.5000 0.5000 0.2500
W: 0.5000 0.5000 0.7500


(2)
The following is a DFT calculation (PBE-GGA) of a relaxed In2TeW crystal.

a = 7.4616 Å, b = 7.4616 Å, c = 4.5760 Å
α = 72.08°, β = 72.08°, γ = 24.26°
Atoms (fractional coordinates):
Te: 0.7500 0.7500 0.7500
In: 0.9384 0.9384 0.0624
In: 0.5616 0.5616 0.4376
W: 0.2500 0.2500 0.2500


(3)
The following is a DFT calculation (PBE-GGA) of a relaxed InTeW2 crystal.

## Properties
* polymorph energy (0 for the lowest one): 540 meV per atom

a = 5.0967 Å, b = 5.0967 Å, c = 5.0967 Å
α = 129.65°, β = 129.65°, γ = 73.97°
Atoms (fractional coordinates):
Te: 0.7500 0.2500 0.5000
W: 0.0000 0.0000 0.0000
W: 0.2500 0.7500 0.5000
In: 0.5000 0.5000 0.0000


(4)
The following is a DFT calculation (PBE-GGA) of a relaxed InTeW2 crystal.

## Properties
* polymorph energy (0 for the lowest one): 613 meV per atom

a = 3.3860 Å, b = 4.8647 Å, c = 4.6973 Å
α = 90.00°, β = 90.00°, γ = 90.00°
Atoms (fractional coordinates):
W: 0.0000 0.0000 0.0000
W: 0.5000 0.5000 0.0000
In: 0.5000 0.0000 0.5000
Te: 0.0000 0.5000 0.5000


(5)
The following is a DFT calculation (PBE-GGA) of a relaxed InTeW2 crystal.

## Properties
* polymorph energy (0 for the lowest one): 629 meV per atom

a = 4.1958 Å, b = 4.1958 Å, c = 10.2970 Å
α = 78.24°, β = 78.24°, γ = 90.00°
Atoms (fractional coordinates):
W: 0.8750 0.8116 0.7500
W: 0.3750 0.4384 0.7500
W: 0.5616 0.1250 0.2500
W: 0.1884 0.6250 0.2500
In: 0.5000 0.5000 0.0000
In: 0.2500 0.7500 0.5000
Te: 0.0000 0.0000 0.0000
Te: 0.7500 0.2500 0.5000


(6)
The following is a DFT calculation (PBE-GGA) of a relaxed InTeW2 crystal.

## Properties
* polymorph energy (0 for the lowest one): 456 meV per atom

a = 4.9213 Å, b = 4.9213 Å, c = 5.2117 Å
α = 80.62°, β = 80.62°, γ = 37.59°
Atoms (fractional coordinates):
In: 0.7500 0.7500 0.7500
Te: 0.2500 0.2500 0.2500
W: 0.9996 0.9996 0.0050
W: 0.5004 0.5004 0.4950


(7)
The following is a DFT calculation (PBE-GGA) of a relaxed In3TeW crystal.

## Properties
* polymorph energy (0 for the lowest one): 888 meV per atom

a = 5.6651 Å, b = 5.6651 Å, c = 5.6651 Å
α = 90.00°, β = 90.00°, γ = 90.00°
Last column: magnetic moment on the atom in μB.
Atoms (fractional coordinates):
W: 0.5000 0.5000 0.5000  3.26
Te: 0.0000 0.0000 0.0000  0.05
In: 0.5000 0.0000 0.0000  -0.01
In: 0.0000 0.0000 0.5000  0.00
In: 0.0000 0.5000 0.0000  -0.02


(8)
The following is a DFT calculation (PBE-GGA) of a relaxed In2TeW crystal.

a = 5.0258 Å, b = 5.0258 Å, c = 3.5197 Å
α = 90.00°, β = 90.00°, γ = 90.00°
Atoms (fractional coordinates):
In: 0.5000 0.5000 0.0000
In: 0.0000 0.0000 0.0000
Te: 0.5000 0.0000 0.5000
W: 0.0000 0.5000 0.5000


(9)
The following is a DFT calculation (PBE-GGA) of a relaxed In2TeW crystal.

a = 3.2612 Å, b = 5.0063 Å, c = 5.4774 Å
α = 90.00°, β = 90.00°, γ = 90.00°
Atoms (fractional coordinates):
Te: 0.5000 0.0000 0.5000
In: 0.0000 0.0000 0.0000
In: 0.5000 0.5000 0.0000
W: 0.0000 0.5000 0.5000


(10)
The following is a DFT calculation (PBE-GGA) of a relaxed InTeW crystal.

## Properties
* polymorph energy (0 for the lowest one): 333 meV per atom

a = 4.9764 Å, b = 4.9764 Å, c = 2.9629 Å
α = 90.00°, β = 90.00°, γ = 120.00°
Atoms (fractional coordinates):
Te: 0.3333 0.6667 0.5000
In: 0.0000 0.0000 0.9997
W: 0.6667 0.3333 0.5002


(11)
The following is a DFT calculation (PBE-GGA) of a relaxed InTeW2 crystal.

## Properties
* polymorph energy (0 for the lowest one): 521 meV per atom

a = 4.6810 Å, b = 2.9573 Å, c = 5.8898 Å
α = 90.11°, β = 90.00°, γ = 90.00°
Atoms (fractional coordinates):
In: 0.5000 0.2500 0.2500
W: 0.0000 0.6305 0.4546
W: 0.0000 0.8695 0.0454
Te: 0.5000 0.7500 0.7500


(12)
The following is a DFT calculation (PBE-GGA) of a relaxed YInTeW2 crystal.

a = 5.1264 Å, b = 5.4795 Å, c = 5.1264 Å
α = 90.00°, β = 90.00°, γ = 90.00°
Last column: magnetic moment on the atom in μB.
Atoms (fractional coordinates):
W: 0.5000 0.0000 0.0000  0.67
W: 0.0000 0.0000 0.5000  0.76
In: 0.0000 0.0000 0.0000  0.01
Y: 0.5000 0.5000 0.5000  -0.05
Te: 0.0000 0.5000 0.0000  -0.01


| no. | formation energy (no corrections) (eV/atom) | density of states at the Fermi level (states/eV/cell) | energy (eV per cell) |
| --- | --- | --- | --- |
| 1 | 0.587 | 2.7 | -19.22 |
| 2 | 0.547 | 2.9 | -19.38 |
| 3 | 0.937 | 4.0 | -28.04 |
| 4 | 1.011 | 3.5 | -27.74 |
| 5 | 1.026 | 6.4 | -55.36 |
| 6 | 0.854 | 3.2 | -28.37 |
| 7 | 1.662 | 3.2 | -16.00 |
| 8 | 0.787 | 2.7 | -18.42 |
| 9 | 0.794 | 2.8 | -18.39 |
| 10 | 0.753 | 2.6 | -16.57 |
| 11 | 0.918 | 3.4 | -28.11 |
| 12 | 1.926 | 6.1 | -28.62 |